(1)
LiTlIn (SCAN, PBEsol geometry); calculated density = 8.1 g/cm3; crystal system = orthorhombic; total DFT energy (no corrections) = -36.234 eV/atom
1.0
-2.646 0.278 -2.096
-1.712 -2.136 1.995
0.184 5.441 3.168
Tl In Li
1 1 1
direct
0.678 0.678 0.355 Tl
0.988 0.988 0.976 In
0.335 0.335 0.669 Li


(2)
Li2Pt3 (SCAN, PBEsol geometry); calculated density = 14.4 g/cm3; crystal system = trigonal; total DFT energy (no corrections) = -43.619 eV/atom
1.0
2.690 0.000 0.000
1.345 2.329 0.000
1.345 0.776 11.020
Pt Li
3 2
direct
0.000 0.000 0.000 Pt
0.205 0.205 0.386 Pt
0.795 0.795 0.614 Pt
0.399 0.399 0.803 Li
0.601 0.601 0.197 Li


(3)
YCuBr2 (SCAN, PBEsol geometry); calculated density = 5.5 g/cm3; uncorrected formation energy = -931.3 meV per atom; crystal system = tetragonal; total DFT energy (no corrections) = -21.422 eV/atom
1.0
3.492 0.047 0.000
-0.051 3.492 0.000
0.000 0.000 7.721
Br Cu Y
2 1 1
direct
0.000 0.000 0.948 Br
0.500 0.500 0.344 Br
0.000 0.000 0.501 Cu
0.500 0.500 0.706 Y


- calculated density of number 1 (LiTlIn)?
  8.1 g/cm3